A relaxed structure of ScPtPbSe3, computed with PBE.

Values from the calculation:
Energy, eV per atom: -5.278
Calculated density, Mg/m³: 8.03

Unit cell a=3.8468 b=14.0377 c=10.4843 alpha=90.00 beta=90.00 gamma=90.00
Closest atoms and distances in Å follow each position.
Space group Cmcm (No. 63)
Asymmetric unit:
Sc (0.0000, 0.0000, 0.0000) (multiplicity 4)  6 Se 2.72-2.75
Pt (0.0000, 0.4349, 0.2500) (multiplicity 4)  4 Se 2.54-2.61
Pb (0.0000, 0.2216, 0.7500) (multiplicity 4)  2 Pt 2.92, 4 Se 3.26
Se (0.0000, 0.0601, 0.2500) (multiplicity 4)  2 Pt 2.61, 2 Sc 2.75
Se (0.0000, 0.3641, 0.0268) (multiplicity 8)  1 Pt 2.54, 2 Sc 2.72